Computed, not measured: a relaxed AgPPt2 crystal at the PBE level of DFT.

* magnetic moment: 0.00 μB/f.u.
* formation energy: 53 kJ/mol of formula units

Unit cell a=4.7641 b=4.7641 c=2.8788 alpha=90.00 beta=90.00 gamma=105.44
Atoms (fractional coordinates):
1 Ag 0.0000 0.0000 0.0000
2 P 0.5000 0.5000 0.0000
3 Pt 0.0000 0.5000 0.5000
4 Pt 0.5000 0.0000 0.5000

Computed, not measured: a relaxed AgP2Pt2 crystal at the PBE level of DFT.

* magnetic moment: 0.00 μB/f.u.
* formation energy: -8 kJ/mol of formula units

Unit cell a=5.9123 b=5.9123 c=5.9123 alpha=138.69 beta=138.69 gamma=59.84
Atoms (fractional coordinates):
1 Ag 0.0000 0.0000 0.0000
2 P 0.2500 0.7500 0.5000
3 P 0.7500 0.2500 0.5000
4 Pt 0.3642 0.3642 0.0000
5 Pt 0.6358 0.6358 0.0000

Computed, not measured: a relaxed AgP2Pt crystal at the PBE level of DFT.

* magnetic moment: 0.00 μB/f.u.
* formation energy: 54 kJ/mol of formula units
* E above lowest polymorph: 0.93 eV per formula unit

Unit cell a=3.4655 b=3.4655 c=5.6108 alpha=90.00 beta=90.00 gamma=90.00
Atoms (fractional coordinates):
1 Ag 0.0000 0.0000 0.0000
2 P 0.5000 0.5000 0.3092
3 P 0.5000 0.5000 0.6908
4 Pt 0.0000 0.0000 0.5000

Computed, not measured: a relaxed AgPPt2 crystal at the PBE level of DFT.

* magnetic moment: 0.00 μB/f.u.
* formation energy: -55 kJ/mol of formula units

Unit cell a=5.6821 b=5.6821 c=5.6821 alpha=103.12 beta=103.12 gamma=123.09
Atoms (fractional coordinates):
1 Ag 0.0000 0.0000 0.0000
2 Ag 0.7500 0.2500 0.5000
3 P 0.2500 0.7500 0.5000
4 P 0.5000 0.5000 0.0000
5 Pt 0.1946 0.6250 0.0696
6 Pt 0.3750 0.4446 0.5696
7 Pt 0.5554 0.1250 0.9304
8 Pt 0.8750 0.8054 0.4304

Computed, not measured: a relaxed AgP2Pt crystal at the PBE level of DFT.

* magnetic moment: 0.00 μB/f.u.
* formation energy: -35 kJ/mol of formula units
* E above lowest polymorph: 0.00 eV per formula unit

Unit cell a=4.1691 b=3.9110 c=4.4627 alpha=90.00 beta=92.58 gamma=90.00
Atoms (fractional coordinates):
1 Ag 0.0000 0.0000 0.0000
2 P 0.2128 0.5000 0.6478
3 P 0.7872 0.5000 0.3522
4 Pt 0.5000 0.0000 0.5000

Computed, not measured: a relaxed AgP2Pt crystal at the PBE level of DFT.

* magnetic moment: 0.00 μB/f.u.
* formation energy: 94 kJ/mol of formula units
* E above lowest polymorph: 1.33 eV per formula unit

Unit cell a=4.4652 b=4.4652 c=4.4652 alpha=60.00 beta=60.00 gamma=60.00
Atoms (fractional coordinates):
1 Ag 0.0000 0.0000 0.0000
2 P 0.2500 0.2500 0.2500
3 P 0.7500 0.7500 0.7500
4 Pt 0.5000 0.5000 0.5000